Density functional theory data (GGA-PBE) for an optimized crystal structure of LiYPuSe3.

Results
The uncorrected formation energy comes out at -1550 meV/atom. Its space-group type is P2_1/m (11). As for the energy: -7.078 eV per atom.

abc: 4.0305 8.4199 8.8107
angles: 102.64 90.00 90.00
Closest atoms and distances in Å follow each position.
Atoms (fractional coordinates):
Li: 0.2500 0.0860 0.5812  4 Se 2.50-2.54, 2 Li 2.70
Li: 0.7500 0.9140 0.4188  4 Se 2.50-2.54, 2 Li 2.70
Y: 0.2500 0.6660 0.1663  6 Se 2.86-2.90
Y: 0.7500 0.3340 0.8337  6 Se 2.86-2.90
Pu: 0.2500 0.1783 0.2210  7 Se 3.00-3.12
Pu: 0.7500 0.8217 0.7790  7 Se 3.00-3.12
Se: 0.7500 0.9017 0.1331  1 Li 2.50
Se: 0.2500 0.0983 0.8669  1 Li 2.50
Se: 0.2500 0.7775 0.5023  3 Li 2.51-2.54
Se: 0.7500 0.2225 0.4977  3 Li 2.51-2.54
Se: 0.7500 0.4257 0.1705  3 Y 2.86-2.90, 2 Pu 3.00
Se: 0.2500 0.5743 0.8295  3 Y 2.86-2.90, 2 Pu 3.00